No. 1
Entry from Alexandria via LeMat-Bulk: crystalline Ho5Tl2Sn at its relaxed geometry (PBE).

a = 7.4136 Å, b = 7.4136 Å, c = 6.6005 Å
α = 124.15°, β = 124.16°, γ = 90.02°
With the nearest neighbours (Å) after each atom.
Fractional coordinates of all 8 atoms:
1 Ho 0.7052 0.2352 0.9405  4 Ho 3.24-3.49, 2 Sn 3.25-3.39, 4 Tl 3.27-3.34
2 Ho 0.2348 0.2348 0.9400  4 Ho 3.24-3.49, 2 Sn 3.25-3.39, 4 Tl 3.27-3.34
3 Ho 0.7052 0.7052 0.9400  4 Ho 3.24-3.49, 2 Sn 3.25-3.39, 4 Tl 3.27-3.34
4 Ho 0.2352 0.7053 0.9405  4 Ho 3.24-3.49, 2 Sn 3.25-3.39, 4 Tl 3.27-3.34
5 Ho 0.7616 0.7616 0.5232  8 Ho 3.24-3.40, 1 Sn 3.36
6 Tl 0.2273 0.7273 0.4546  8 Ho 3.27-3.34
7 Tl 0.7273 0.2273 0.4546  8 Ho 3.27-3.34
8 Sn 0.1803 0.1804 0.3606  9 Ho 3.25-3.39

Its crystal system is tetragonal. The calculation puts the excess energy over the best structure of this formula in the dataset at 13.54 kJ/mol of atoms. Its symmetry is I4mm (107).

---

No. 2
Entry from Alexandria via LeMat-Bulk: crystalline HoTlSn2 at its relaxed geometry (PBE).

a = 5.4327 Å, b = 5.4327 Å, c = 5.4193 Å
α = 59.92°, β = 59.92°, γ = 60.00°
With the nearest neighbours (Å) after each atom.
Fractional coordinates of all 4 atoms:
1 Tl 0.0000 0.0000 0.0000  8 Sn 3.31-3.33
2 Ho 0.5000 0.5000 0.5000  8 Sn 3.32
3 Sn 0.2498 0.2498 0.2507  4 Tl 3.31-3.33, 4 Ho 3.32
4 Sn 0.7502 0.7502 0.7493  4 Tl 3.31-3.33, 4 Ho 3.32

Its crystal system is trigonal. The calculation puts the excess energy over the best structure of this formula in the dataset at 22.34 kJ/mol of atoms. Its symmetry is R-3m (166).

---

No. 3
Entry from Alexandria via LeMat-Bulk: crystalline Ho5Tl2Sn2 at its relaxed geometry (PBE).

a = 8.0572 Å, b = 8.1575 Å, c = 8.8123 Å
α = 117.57°, β = 90.00°, γ = 90.00°
With the nearest neighbours (Å) after each atom.
Fractional coordinates of all 18 atoms:
1 Ho 0.0000 0.0000 0.0000  4 Tl 3.16-3.19, 2 Sn 3.22
2 Ho 0.5000 0.5000 0.0000  4 Tl 3.16-3.19, 2 Sn 3.22
3 Ho 0.8300 0.8126 0.2793  3 Sn 3.11-3.18, 3 Tl 3.15-3.32
4 Ho 0.1700 0.4667 0.2793  3 Sn 3.11-3.18, 3 Tl 3.15-3.32
5 Ho 0.3300 0.9667 0.2793  3 Sn 3.11-3.18, 3 Tl 3.15-3.32
6 Ho 0.6700 0.3126 0.2793  3 Sn 3.11-3.18, 3 Tl 3.15-3.32
7 Ho 0.1700 0.1874 0.7207  3 Sn 3.11-3.18, 3 Tl 3.15-3.32
8 Ho 0.8300 0.5333 0.7207  3 Sn 3.11-3.18, 3 Tl 3.15-3.32
9 Ho 0.6700 0.0333 0.7207  3 Sn 3.11-3.18, 3 Tl 3.15-3.32
10 Ho 0.3300 0.6874 0.7207  3 Sn 3.11-3.18, 3 Tl 3.15-3.32
11 Tl 0.6306 0.8690 0.0000  1 Tl 3.00, 8 Ho 3.15-3.32
12 Tl 0.3694 0.1310 0.0000  1 Tl 3.00, 8 Ho 3.15-3.32
13 Tl 0.1306 0.6310 0.0000  1 Tl 3.00, 8 Ho 3.15-3.32
14 Tl 0.8694 0.3690 0.0000  1 Tl 3.00, 8 Ho 3.15-3.32
15 Sn 0.0000 0.2060 0.4120  7 Ho 3.11-3.22
16 Sn 0.5000 0.7060 0.4120  7 Ho 3.11-3.22
17 Sn 0.0000 0.7940 0.5880  7 Ho 3.11-3.22
18 Sn 0.5000 0.2940 0.5880  7 Ho 3.11-3.22

Its crystal system is orthorhombic. Its symmetry is Cmce (64).

---

No. 4
Entry from Alexandria via LeMat-Bulk: crystalline HoTmTlSn at its relaxed geometry (PBE).

a = 5.3201 Å, b = 5.3201 Å, c = 5.3201 Å
α = 60.00°, β = 60.00°, γ = 60.00°
With the nearest neighbours (Å) after each atom.
Fractional coordinates of all 4 atoms:
1 Tl 0.0000 0.0000 0.0000  4 Tm 3.26, 4 Ho 3.26
2 Tm 0.2500 0.2500 0.2500  4 Sn 3.26, 4 Tl 3.26
3 Ho 0.7500 0.7500 0.7500  4 Tl 3.26, 4 Sn 3.26
4 Sn 0.5000 0.5000 0.5000  4 Ho 3.26, 4 Tm 3.26

Its crystal system is cubic. Its symmetry is F-43m (216).

---

No. 5
Entry from Alexandria via LeMat-Bulk: crystalline HoTm4Sn2 at its relaxed geometry (PBE).

a = 7.9491 Å, b = 6.4462 Å, c = 8.9259 Å
α = 90.00°, β = 119.56°, γ = 90.00°
With the nearest neighbours (Å) after each atom.
Fractional coordinates of all 14 atoms:
1 Ho 0.2566 0.7500 0.3592  4 Sn 2.98-3.26, 1 Tm 3.18
2 Ho 0.7434 0.2500 0.6408  4 Sn 2.98-3.26, 1 Tm 3.18
3 Tm 0.5508 0.4969 0.2214  3 Tm 3.18-3.47, 3 Sn 3.21-3.29, 1 Ho 3.53
4 Tm 0.0947 0.7500 0.9260  4 Sn 3.09-3.33, 1 Tm 3.31, 1 Ho 3.42
5 Tm 0.9053 0.2500 0.0740  4 Sn 3.09-3.33, 1 Tm 3.31, 1 Ho 3.42
6 Tm 0.5508 0.0031 0.2214  3 Tm 3.18-3.47, 3 Sn 3.21-3.29, 1 Ho 3.53
7 Tm 0.0285 0.2500 0.4864  2 Sn 2.94-3.29, 1 Ho 3.18, 2 Tm 3.28
8 Tm 0.4492 0.9969 0.7786  3 Tm 3.18-3.47, 3 Sn 3.21-3.29, 1 Ho 3.53
9 Tm 0.4492 0.5031 0.7786  3 Tm 3.18-3.47, 3 Sn 3.21-3.29, 1 Ho 3.53
10 Tm 0.9715 0.7500 0.5136  2 Sn 2.94-3.29, 1 Ho 3.18, 2 Tm 3.28
11 Sn 0.8125 0.7500 0.0968  1 Ho 3.13, 8 Tm 3.24-3.33
12 Sn 0.1875 0.2500 0.9032  1 Ho 3.13, 8 Tm 3.24-3.33
13 Sn 0.3237 0.2500 0.3790  4 Tm 2.94-3.21, 3 Ho 2.98-3.26
14 Sn 0.6763 0.7500 0.6210  4 Tm 2.94-3.21, 3 Ho 2.98-3.26

Its crystal system is monoclinic. Its symmetry is P2_1/m (11).

---

No. 6
Entry from Alexandria via LeMat-Bulk: crystalline Ho12Tm7Sn at its relaxed geometry (PBE).

a = 8.5444 Å, b = 8.5444 Å, c = 8.5444 Å
α = 89.01°, β = 89.01°, γ = 89.01°
With the nearest neighbours (Å) after each atom.
Fractional coordinates of all 20 atoms:
1 Ho 0.8716 0.2652 0.7451  5 Ho 3.23-3.46, 1 Sn 3.30, 2 Tm 3.49-3.61
2 Ho 0.7348 0.2549 0.1284  5 Ho 3.23-3.46, 1 Sn 3.30, 2 Tm 3.49-3.61
3 Ho 0.6170 0.1465 0.5011  2 Tm 3.17-3.45, 4 Ho 3.23-3.44
4 Ho 0.8535 0.4989 0.3830  2 Tm 3.17-3.45, 4 Ho 3.23-3.44
5 Ho 0.2549 0.1284 0.7348  5 Ho 3.23-3.46, 1 Sn 3.30, 2 Tm 3.49-3.61
6 Ho 0.4989 0.3830 0.8535  2 Tm 3.17-3.45, 4 Ho 3.23-3.44
7 Ho 0.5011 0.6170 0.1465  2 Tm 3.17-3.45, 4 Ho 3.23-3.44
8 Ho 0.7451 0.8716 0.2652  5 Ho 3.23-3.46, 1 Sn 3.30, 2 Tm 3.49-3.61
9 Ho 0.1465 0.5011 0.6170  2 Tm 3.17-3.45, 4 Ho 3.23-3.44
10 Ho 0.3830 0.8535 0.4989  2 Tm 3.17-3.45, 4 Ho 3.23-3.44
11 Ho 0.2652 0.7451 0.8716  5 Ho 3.23-3.46, 1 Sn 3.30, 2 Tm 3.49-3.61
12 Ho 0.1284 0.7348 0.2549  5 Ho 3.23-3.46, 1 Sn 3.30, 2 Tm 3.49-3.61
13 Tm 0.8537 0.6184 0.9444  3 Tm 3.33-3.49, 4 Ho 3.45-3.62, 1 Sn 3.55
14 Tm 0.3816 0.0556 0.1463  3 Tm 3.33-3.49, 4 Ho 3.45-3.62, 1 Sn 3.55
15 Tm 0.0556 0.1463 0.3816  3 Tm 3.33-3.49, 4 Ho 3.45-3.62, 1 Sn 3.55
16 Tm 0.5000 0.5000 0.5000  6 Ho 3.17
17 Tm 0.9444 0.8537 0.6184  3 Tm 3.33-3.49, 4 Ho 3.45-3.62, 1 Sn 3.55
18 Tm 0.6184 0.9444 0.8537  3 Tm 3.33-3.49, 4 Ho 3.45-3.62, 1 Sn 3.55
19 Tm 0.1463 0.3816 0.0556  3 Tm 3.33-3.49, 4 Ho 3.45-3.62, 1 Sn 3.55
20 Sn 0.0000 0.0000 0.0000  6 Ho 3.30, 6 Tm 3.55

Its crystal system is trigonal. Its symmetry is R-3 (148).

---

No. 7
Entry from Alexandria via LeMat-Bulk: crystalline HoTm2Sn at its relaxed geometry (PBE).

a = 5.1165 Å, b = 6.7397 Å, c = 6.6937 Å
α = 103.75°, β = 90.00°, γ = 90.00°
With the nearest neighbours (Å) after each atom.
Fractional coordinates of all 8 atoms:
1 Ho 0.2500 0.4107 0.6280  3 Sn 3.22-3.45, 4 Tm 3.37-3.40, 2 Ho 3.45
2 Ho 0.7500 0.5893 0.3720  3 Sn 3.22-3.45, 4 Tm 3.37-3.40, 2 Ho 3.45
3 Tm 0.2500 0.9181 0.6547  3 Sn 3.35-3.53, 4 Ho 3.37-3.61, 6 Tm 3.42-3.62
4 Tm 0.7500 0.0819 0.3453  3 Sn 3.35-3.53, 4 Ho 3.37-3.61, 6 Tm 3.42-3.62
5 Tm 0.2500 0.7666 0.1275  4 Sn 3.07-3.44, 2 Ho 3.40, 3 Tm 3.42-3.43
6 Tm 0.7500 0.2334 0.8725  4 Sn 3.07-3.44, 2 Ho 3.40, 3 Tm 3.42-3.43
7 Sn 0.2500 0.2776 0.1331  6 Tm 3.07-3.44, 1 Ho 3.22
8 Sn 0.7500 0.7224 0.8669  6 Tm 3.07-3.44, 1 Ho 3.22

Its crystal system is monoclinic. The calculation puts the excess energy over the best structure of this formula in the dataset at 0.44 kJ/mol of atoms. Its symmetry is P2_1/m (11).

---

No. 8
Entry from Alexandria via LeMat-Bulk: crystalline Ho8TmSn2 at its relaxed geometry (PBE).

a = 5.7028 Å, b = 8.6304 Å, c = 8.6304 Å
α = 119.25°, β = 102.66°, γ = 102.66°
With the nearest neighbours (Å) after each atom.
Fractional coordinates of all 11 atoms:
1 Ho 0.8840 0.9064 0.6777  2 Sn 3.13-3.29, 4 Ho 3.28-3.51
2 Ho 0.8840 0.6777 0.9064  2 Sn 3.13-3.29, 4 Ho 3.28-3.51
3 Ho 0.2980 0.5940 0.5940  2 Ho 3.07-3.36, 1 Tm 3.22, 2 Sn 3.27
4 Ho 0.5000 0.7800 0.2200  2 Sn 3.12, 1 Tm 3.28
5 Ho 0.5000 0.2200 0.7800  2 Sn 3.12, 1 Tm 3.28
6 Ho 0.7020 0.4060 0.4060  2 Ho 3.07-3.36, 1 Tm 3.22, 2 Sn 3.27
7 Ho 0.1160 0.3223 0.0936  2 Sn 3.13-3.29, 4 Ho 3.28-3.51
8 Ho 0.1160 0.0936 0.3223  2 Sn 3.13-3.29, 4 Ho 3.28-3.51
9 Tm 0.5000 0.0000 0.0000  4 Ho 3.22-3.28
10 Sn 0.0000 0.3057 0.6943  8 Ho 3.12-3.29
11 Sn 0.0000 0.6943 0.3057  8 Ho 3.12-3.29

Its crystal system is monoclinic. Its symmetry is C2/m (12).

---

No. 9
Entry from Alexandria via LeMat-Bulk: crystalline HoTm2Sn at its relaxed geometry (PBE).

a = 4.7533 Å, b = 4.7623 Å, c = 4.7623 Å
α = 90.00°, β = 90.00°, γ = 90.00°
With the nearest neighbours (Å) after each atom.
Fractional coordinates of all 4 atoms:
1 Tm 0.0000 0.0000 0.5000  4 Ho 3.36, 4 Sn 3.36, 4 Tm 3.37
2 Tm 0.0000 0.5000 0.0000  4 Ho 3.36, 4 Sn 3.36, 4 Tm 3.37
3 Ho 0.5000 0.5000 0.5000  8 Tm 3.36, 4 Sn 3.37
4 Sn 0.5000 0.0000 0.0000  8 Tm 3.36, 4 Ho 3.37

Its crystal system is tetragonal. The calculation puts the excess energy over the best structure of this formula in the dataset at 0.00 kJ/mol of atoms. Its symmetry is P4/mmm (123).

---

No. 10
Entry from Alexandria via LeMat-Bulk: crystalline Ho8TmSn6 at its relaxed geometry (PBE).

a = 8.9740 Å, b = 8.9740 Å, c = 8.2854 Å
α = 57.21°, β = 57.21°, γ = 60.00°
With the nearest neighbours (Å) after each atom.
Fractional coordinates of all 15 atoms:
1 Ho 0.5604 0.2275 0.3180  5 Sn 3.08-3.36
2 Ho 0.7725 0.1060 0.6820  5 Sn 3.08-3.36
3 Ho 0.1060 0.4396 0.6820  5 Sn 3.08-3.36
4 Ho 0.6667 0.6667 0.0000  6 Sn 3.27, 6 Ho 3.63
5 Ho 0.3333 0.3333 0.0000  6 Sn 3.27, 6 Ho 3.63
6 Ho 0.8940 0.5604 0.3180  5 Sn 3.08-3.36
7 Ho 0.2275 0.8940 0.3180  5 Sn 3.08-3.36
8 Ho 0.4396 0.7725 0.6820  5 Sn 3.08-3.36
9 Tm 0.0000 0.0000 0.0000  6 Sn 3.26, 6 Ho 3.63
10 Sn 0.3996 0.0672 0.7985  7 Ho 3.08-3.36, 1 Tm 3.26
11 Sn 0.9328 0.2653 0.2015  7 Ho 3.08-3.36, 1 Tm 3.26
12 Sn 0.2653 0.6004 0.2015  7 Ho 3.08-3.36, 1 Tm 3.26
13 Sn 0.7347 0.3996 0.7985  7 Ho 3.08-3.36, 1 Tm 3.26
14 Sn 0.0672 0.7347 0.7985  7 Ho 3.08-3.36, 1 Tm 3.26
15 Sn 0.6004 0.9328 0.2015  7 Ho 3.08-3.36, 1 Tm 3.26

Its crystal system is trigonal. Its symmetry is R-3 (148).

---

No. 11
Entry from Alexandria via LeMat-Bulk: crystalline Ho5Tm2Sn4 at its relaxed geometry (PBE).

a = 4.3081 Å, b = 7.5971 Å, c = 11.6251 Å
α = 116.42°, β = 100.68°, γ = 90.00°
With the nearest neighbours (Å) after each atom.
Fractional coordinates of all 11 atoms:
1 Ho 0.1776 0.8975 0.3552  4 Sn 3.08-3.17
2 Ho 0.8224 0.1025 0.6448  4 Sn 3.08-3.17
3 Ho 0.1423 0.3223 0.2847  3 Sn 3.14-3.22, 2 Tm 3.48
4 Ho 0.5000 0.0000 0.0000  4 Sn 3.06
5 Ho 0.8577 0.6777 0.7153  3 Sn 3.14-3.22, 2 Tm 3.48
6 Tm 0.5733 0.5363 0.1466  5 Sn 3.00-3.22, 1 Tm 3.14
7 Tm 0.4267 0.4637 0.8534  5 Sn 3.00-3.22, 1 Tm 3.14
8 Sn 0.7185 0.6668 0.4369  1 Tm 3.00, 6 Ho 3.08-3.22
9 Sn 0.0279 0.7627 0.0559  3 Ho 3.06-3.09, 4 Tm 3.21-3.22
10 Sn 0.2815 0.3332 0.5631  1 Tm 3.00, 6 Ho 3.08-3.22
11 Sn 0.9721 0.2373 0.9441  3 Ho 3.06-3.09, 4 Tm 3.21-3.22

Its crystal system is monoclinic. Its symmetry is C2/m (12).

---

In the order shown, the computed formation energy from the elements values come out to -0.264; -0.121; -0.510; -0.415; -0.360; 0.141; -0.391; -0.144; -0.396; -0.522; -0.373 eV/atom.
In the order shown, the computed DOS at the Fermi energy values come out to 9.9; 4.7; 12.8; 4.0; 12.2; 38.8; 9.5; 16.1; 4.9; 9.4; 11.8 states/eV/cell.